DFT (PBE+U) results for Nd2NpCoO8 after structural relaxation.

Properties
- symmetry = P-1
- energy (eV/atom) = -8.1283
- ρ (kg/m3) = 6851
- crystal system = triclinic

```
Nd2NpCoO8
1.0
0.143 4.507 0.575
-5.208 -0.359 -0.562
-1.676 -1.300 7.044
Nd Np Co O
2 1 1 8
Direct
0.396 0.520 0.734
0.604 0.480 0.266
0.000 0.000 0.000
0.000 0.000 0.500
0.127 0.709 0.168
0.634 0.766 0.975
0.860 0.112 0.259
0.873 0.291 0.832
0.366 0.234 0.025
0.140 0.888 0.741
0.728 0.714 0.513
0.272 0.286 0.487
```



DFT (PBE+U) results for NdCo2O4 after structural relaxation.

Properties
- symmetry = C2/c
- energy (eV/atom) = -6.7329
- ρ (kg/m3) = 6352
- crystal system = monoclinic

```
NdCo2O4
1.0
5.832 0.224 -1.787
-3.116 4.935 -1.788
-0.145 -0.275 5.975
Nd Co O
2 4 8
Direct
0.259 0.741 0.500
0.991 0.009 0.000
0.625 0.875 0.250
0.625 0.375 0.750
0.125 0.375 0.750
0.625 0.375 0.250
0.893 0.591 0.687
0.358 0.159 0.814
0.910 0.240 0.321
0.409 0.108 0.314
0.760 0.089 0.678
0.339 0.510 0.178
0.841 0.643 0.187
0.490 0.660 0.821
```



DFT (PBE+U) results for NdCoO3 after structural relaxation.

Properties
- symmetry = Pnma
- energy (eV/atom) = -7.1310
- ρ (kg/m3) = 7193
- crystal system = orthorhombic

```
NdCoO3
1.0
5.404 0.000 0.000
0.000 5.553 0.000
0.000 0.000 7.729
Nd Co O
4 4 12
Direct
0.012 0.952 0.750
0.488 0.452 0.750
0.512 0.548 0.250
0.988 0.048 0.250
0.500 0.000 0.500
0.000 0.500 0.000
0.000 0.500 0.500
0.500 0.000 0.000
0.712 0.290 0.457
0.788 0.790 0.043
0.212 0.210 0.543
0.288 0.710 0.957
0.288 0.710 0.543
0.212 0.210 0.957
0.788 0.790 0.457
0.712 0.290 0.043
0.079 0.482 0.250
0.421 0.982 0.250
0.579 0.018 0.750
0.921 0.518 0.750
```



DFT (PBE+U) results for NdCoO3 after structural relaxation.

Properties
- symmetry = Pm-3m
- energy (eV/atom) = -7.0139
- ρ (kg/m3) = 7705
- crystal system = cubic

```
NdCoO3
1.0
3.783 0.000 0.000
0.000 3.783 0.000
0.000 0.000 3.783
Nd Co O
1 1 3
Direct
0.500 0.500 0.500
0.000 0.000 0.000
0.500 0.000 0.000
0.000 0.500 0.000
0.000 0.000 0.500
```



DFT (PBE+U) results for Nd3Co5O12 after structural relaxation.

Properties
- symmetry = Ia-3d
- energy (eV/atom) = -6.8283
- ρ (kg/m3) = 6259
- crystal system = cubic

```
Nd3Co5O12
1.0
10.822 0.000 0.000
-3.607 10.203 0.000
-3.607 -5.101 8.836
Nd Co O
12 20 48
Direct
0.750 0.375 0.125
0.875 0.750 0.125
0.375 0.750 0.625
0.250 0.125 0.375
0.875 0.125 0.250
0.375 0.625 0.250
0.625 0.375 0.750
0.125 0.875 0.750
0.750 0.875 0.625
0.625 0.250 0.375
0.125 0.250 0.875
0.250 0.625 0.875
0.125 0.375 0.250
0.000 0.500 0.000
0.000 0.000 0.000
0.375 0.250 0.125
0.500 0.000 0.500
0.500 0.500 0.000
0.125 0.750 0.375
0.750 0.125 0.875
0.750 0.625 0.375
0.375 0.125 0.750
0.625 0.875 0.250
0.500 0.500 0.500
0.500 0.000 0.000
0.000 0.000 0.500
0.250 0.375 0.625
0.250 0.875 0.125
0.000 0.500 0.500
0.875 0.250 0.625
0.625 0.750 0.875
0.875 0.625 0.750
0.697 0.117 0.022
0.325 0.522 0.404
0.978 0.383 0.303
0.522 0.197 0.117
0.580 0.697 0.675
0.978 0.596 0.175
0.325 0.803 0.420
0.096 0.920 0.117
0.596 0.978 0.675
0.697 0.580 0.175
0.803 0.478 0.383
0.825 0.904 0.022
0.117 0.697 0.522
0.383 0.404 0.080
0.080 0.904 0.383
0.420 0.117 0.596
0.080 0.175 0.197
0.478 0.675 0.096
0.825 0.920 0.303
0.117 0.420 0.096
0.383 0.978 0.803
0.596 0.617 0.420
0.904 0.825 0.522
0.803 0.325 0.920
0.404 0.383 0.580
0.096 0.175 0.478
0.197 0.675 0.080
0.175 0.080 0.697
0.617 0.022 0.197
0.883 0.580 0.904
0.522 0.325 0.904
0.580 0.883 0.404
0.920 0.825 0.803
0.920 0.096 0.617
0.883 0.303 0.478
0.175 0.096 0.978
0.617 0.596 0.920
0.404 0.022 0.325
0.303 0.420 0.825
0.197 0.522 0.617
0.904 0.080 0.883
0.675 0.197 0.580
0.478 0.803 0.883
0.022 0.404 0.825
0.420 0.303 0.325
0.022 0.617 0.697
0.675 0.478 0.596
0.303 0.883 0.978
```



DFT (PBE+U) results for Nd2CoOsO8 after structural relaxation.

Properties
- symmetry = P-1
- energy (eV/atom) = -7.3725
- ρ (kg/m3) = 7110
- crystal system = triclinic

```
Nd2CoOsO8
1.0
-4.711 1.196 -2.253
2.149 -0.536 -3.613
-2.710 -6.426 -0.022
Nd Co Os O
2 1 1 8
Direct
0.519 0.319 0.733
0.481 0.681 0.267
0.000 0.000 0.500
0.000 0.000 0.000
0.050 0.797 0.230
0.729 0.697 0.955
0.766 0.222 0.162
0.950 0.203 0.770
0.271 0.303 0.045
0.234 0.778 0.838
0.677 0.786 0.552
0.323 0.214 0.448
```



DFT (PBE+U) results for NdCoP2O8 after structural relaxation.

Properties
- symmetry = P-3m1
- energy (eV/atom) = -7.2843
- ρ (kg/m3) = 4275
- crystal system = trigonal

```
NdCoP2O8
1.0
5.142 0.000 0.000
-2.571 4.453 0.000
0.000 0.000 6.668
Nd Co P O
1 1 2 8
Direct
0.000 0.000 0.500
0.000 0.000 0.000
0.333 0.667 0.734
0.667 0.333 0.266
0.168 0.336 0.806
0.168 0.832 0.806
0.664 0.832 0.806
0.336 0.168 0.194
0.667 0.333 0.496
0.333 0.667 0.504
0.832 0.664 0.194
0.832 0.168 0.194
```



DFT (PBE+U) results for NdPa2CoO8 after structural relaxation.

Properties
- symmetry = P-3m1
- energy (eV/atom) = -8.4050
- ρ (kg/m3) = 8928
- crystal system = trigonal

```
NdPa2CoO8
1.0
5.157 0.000 0.000
-2.578 4.466 0.000
0.000 0.000 6.407
Nd Pa Co O
1 2 1 8
Direct
0.000 0.000 0.500
0.667 0.333 0.132
0.333 0.667 0.868
0.000 0.000 0.000
0.832 0.664 0.829
0.336 0.168 0.829
0.832 0.168 0.829
0.168 0.336 0.171
0.664 0.832 0.171
0.168 0.832 0.171
0.667 0.333 0.432
0.333 0.667 0.568
```



DFT (PBE+U) results for NdPaCoO6 after structural relaxation.

Properties
- symmetry = P312
- energy (eV/atom) = -7.8461
- ρ (kg/m3) = 7287
- crystal system = trigonal

```
NdPaCoO6
1.0
4.842 0.000 0.000
0.000 5.368 0.000
0.000 -2.684 4.649
Nd Pa Co O
1 1 1 6
Direct
0.500 0.667 0.333
0.000 0.333 0.667
0.500 0.000 0.000
0.735 0.691 0.724
0.735 0.276 0.966
0.735 0.034 0.309
0.265 0.276 0.309
0.265 0.691 0.966
0.265 0.034 0.724
```



DFT (PBE+U) results for NdPaCo2O8 after structural relaxation.

Properties
- symmetry = I-4m2
- energy (eV/atom) = -7.4162
- ρ (kg/m3) = 6076
- crystal system = tetragonal

```
NdPaCo2O8
1.0
6.059 0.040 0.000
-2.651 5.448 0.000
-1.704 -2.744 5.126
Nd Pa Co O
1 1 2 8
Direct
0.250 0.750 0.500
0.000 0.000 0.000
0.750 0.250 0.500
0.500 0.500 0.000
0.382 0.075 0.307
0.306 0.482 0.176
0.306 0.130 0.824
0.768 0.075 0.693
0.870 0.694 0.176
0.925 0.232 0.307
0.925 0.618 0.693
0.518 0.694 0.824
```



DFT (PBE+U) results for NdCoSbPbO6 after structural relaxation.

Properties
- symmetry = Pc
- energy (eV/atom) = -6.5507
- ρ (kg/m3) = 7890
- crystal system = monoclinic

```
NdCoSbPbO6
1.0
5.816 0.000 0.000
0.000 5.679 0.003
0.000 5.640 8.008
Nd Co Sb Pb O
2 2 2 2 12
Direct
0.191 0.731 0.752
0.809 0.731 0.252
0.260 0.496 0.502
0.740 0.496 0.002
0.258 0.000 0.999
0.742 0.000 0.499
0.277 0.251 0.253
0.723 0.251 0.753
0.556 0.341 0.449
0.444 0.341 0.949
0.963 0.691 0.538
0.037 0.691 0.038
0.734 0.140 0.257
0.266 0.140 0.757
0.781 0.826 0.745
0.219 0.826 0.245
0.017 0.257 0.455
0.983 0.257 0.955
0.454 0.767 0.548
0.546 0.767 0.048
```



DFT (PBE+U) results for PrNdCoO4 after structural relaxation.

Properties
- symmetry = I4mm
- energy (eV/atom) = -7.4679
- ρ (kg/m3) = 7451
- crystal system = tetragonal

```
PrNdCoO4
1.0
3.777 0.000 0.000
0.000 3.777 0.000
-1.888 -1.888 6.377
Pr Nd Co O
1 1 1 4
Direct
0.637 0.637 0.275
0.364 0.364 0.727
0.000 0.000 0.000
0.999 0.499 0.998
0.499 0.999 0.998
0.821 0.821 0.641
0.181 0.181 0.362
```



DFT (PBE+U) results for NdCoPtO6 after structural relaxation.

Properties
- symmetry = P4_2nm
- energy (eV/atom) = -6.2356
- ρ (kg/m3) = 7031
- crystal system = tetragonal

```
NdCoPtO6
1.0
-2.539 -2.555 -3.306
-2.818 -1.809 3.563
-6.163 7.501 -1.064
Nd Co Pt O
2 2 2 12
Direct
0.500 0.500 0.506
0.000 0.000 0.006
0.500 0.500 0.162
0.000 0.000 0.662
0.500 0.500 0.833
0.000 0.000 0.333
0.173 0.827 0.493
0.827 0.173 0.493
0.327 0.327 0.993
0.673 0.673 0.993
0.221 0.779 0.188
0.779 0.221 0.188
0.279 0.279 0.688
0.721 0.721 0.688
0.780 0.220 0.819
0.220 0.780 0.819
0.720 0.720 0.319
0.280 0.280 0.319
```



DFT (PBE+U) results for Nd2PuCoO8 after structural relaxation.

Properties
- symmetry = P-1
- energy (eV/atom) = -8.1474
- ρ (kg/m3) = 7235
- crystal system = triclinic

```
Nd2PuCoO8
1.0
-3.059 -2.844 -0.930
3.539 -1.474 -3.929
4.093 -4.597 3.747
Nd Pu Co O
2 1 1 8
Direct
0.327 0.530 0.723
0.673 0.470 0.277
0.000 0.000 0.000
0.000 0.000 0.500
0.192 0.753 0.178
0.678 0.723 0.965
0.800 0.064 0.260
0.808 0.247 0.822
0.322 0.277 0.035
0.200 0.936 0.740
0.794 0.679 0.544
0.206 0.321 0.456
```



DFT (PBE+U) results for NdPuCo2O8 after structural relaxation.

Properties
- symmetry = I-4m2
- energy (eV/atom) = -7.5189
- ρ (kg/m3) = 6494
- crystal system = tetragonal

```
NdPuCo2O8
1.0
5.948 0.233 0.000
-2.429 5.434 0.000
-1.759 -2.834 4.930
Nd Pu Co O
1 1 2 8
Direct
0.000 0.000 0.000
0.250 0.750 0.500
0.750 0.250 0.500
0.500 0.500 0.000
0.393 0.062 0.330
0.306 0.515 0.209
0.306 0.097 0.791
0.732 0.062 0.670
0.903 0.694 0.209
0.938 0.268 0.330
0.938 0.607 0.670
0.485 0.694 0.791
```



DFT (PBE+U) results for RbNd2CoO4 after structural relaxation.

Properties
- symmetry = Cmcm
- energy (eV/atom) = -6.7339
- ρ (kg/m3) = 6053
- crystal system = orthorhombic

```
RbNd2CoO4
1.0
3.620 0.000 0.000
-1.810 6.150 0.000
0.000 0.000 12.244
Rb Nd Co O
2 4 2 8
Direct
0.089 0.178 0.750
0.911 0.822 0.250
0.367 0.735 0.560
0.633 0.265 0.060
0.633 0.265 0.440
0.367 0.735 0.940
0.814 0.627 0.750
0.186 0.373 0.250
0.253 0.505 0.099
0.747 0.495 0.599
0.747 0.495 0.901
0.253 0.505 0.401
0.000 0.000 0.500
0.000 0.000 0.000
0.410 0.820 0.750
0.590 0.180 0.250
```



DFT (PBE+U) results for RbNdCoO4 after structural relaxation.

Properties
- symmetry = P2_1/m
- energy (eV/atom) = -6.2358
- ρ (kg/m3) = 4636
- crystal system = monoclinic

```
RbNdCoO4
1.0
-3.555 -4.465 0.110
2.784 -2.097 4.817
-2.284 6.814 4.287
Rb Nd Co O
2 2 2 8
Direct
0.585 0.750 0.912
0.415 0.250 0.088
0.780 0.750 0.470
0.220 0.250 0.530
0.176 0.750 0.319
0.824 0.250 0.681
0.038 0.483 0.692
0.962 0.983 0.308
0.962 0.517 0.308
0.038 0.017 0.692
0.360 0.750 0.196
0.640 0.250 0.804
0.429 0.750 0.548
0.571 0.250 0.452
```